1.
Here is a geometry-optimized ScAg2Br structure from Alexandria. Energies are from GGA-PBE.

Geometry as POSCAR:
```
ScAg2Br
1.0
-4.0858 4.0858 2.7291
4.0858 -4.0858 2.7291
4.0858 4.0858 -2.7291
Sc Ag Br
2 4 2
direct
0.0000 0.0000 0.0000
0.7500 0.2500 0.5000
0.1228 0.6250 0.9978
0.3750 0.3728 0.4978
0.6272 0.1250 0.0022
0.8750 0.8772 0.5022
0.2500 0.7500 0.5000
0.5000 0.5000 0.0000
```

## Properties
Its density of states at the Fermi level is 1.0 states/eV per cell. The magnetic moment is 0.00 μB per formula unit. The value obtained for the excess energy over the best structure of this formula in the dataset is 214.2 meV per atom. The formation energy (no corrections) is -0.1710 eV per atom. The total energy is -3.598 eV/atom.

2.
Here is a geometry-optimized TaIrCl structure from Alexandria. Energies are from GGA-PBE.

Geometry as POSCAR:
```
TaIrCl
1.0
0.0000 2.5908 7.5872
1.4626 0.0000 7.5872
1.4626 2.5908 0.0000
Ta Ir Cl
1 1 1
direct
0.0000 0.0000 0.0000
0.6420 0.6420 0.3580
0.3645 0.3645 0.6355
```

## Properties
Its density of states at the Fermi level is 2.2 states/eV per cell. The magnetic moment is 0.00 μB per formula unit. The value obtained for the excess energy over the best structure of this formula in the dataset is 268.8 meV per atom. The formation energy (no corrections) is 0.0242 eV per atom. The total energy is -7.496 eV/atom.

3.
Here is a geometry-optimized CoRh2Se structure from Alexandria. Energies are from GGA-PBE.

Geometry as POSCAR:
```
CoRh2Se
1.0
2.9205 0.0000 0.0000
0.0000 3.8959 0.0000
-1.4583 0.0000 4.9811
Co Rh Se
1 2 1
direct
0.0000 0.0000 0.0000
0.2602 0.0000 0.5209
0.6072 0.5000 0.2146
0.8558 0.5000 0.7153
```

## Properties
Its density of states at the Fermi level is 3.6 states/eV per cell. The magnetic moment is 2.39 μB per formula unit. The formation energy (no corrections) is 0.1215 eV per atom. The total energy is -6.202 eV/atom.

4.
Here is a geometry-optimized AcCe2UP4 structure from Alexandria. Energies are from GGA-PBE.

Geometry as POSCAR:
```
AcCe2UP4
1.0
-2.9396 2.9396 5.8677
2.9396 -2.9396 5.8677
2.9396 2.9396 -5.8677
Ac Ce U P
1 2 1 4
direct
0.0000 0.0000 0.0000
0.5000 0.5000 0.0000
0.7500 0.2500 0.5000
0.2500 0.7500 0.5000
0.0089 0.5089 0.5000
0.2586 0.2586 0.0000
0.4911 0.9911 0.5000
0.7414 0.7414 0.0000
```

## Properties
As for the formation enthalpy at 0 K: -1.261 eV per atom. Its density of states at the Fermi level is 17.9 states/eV per cell. The magnetic moment is 3.77 μB per formula unit. The total energy is -7.374 eV/atom.

> Which of these has the highest total energy?

ScAg2Br